DFT (GGA-PBE) results for PrErPu2Bi4 after structural relaxation.

Structure (CIF):
```
data_PrErPu2Bi4
_symmetry_space_group_name_H-M 'P 1 2/m 1'
_symmetry_Int_Tables_number 10
_cell_length_a 7.849
_cell_length_b 4.550
_cell_length_c 7.892
_cell_angle_alpha 90.00
_cell_angle_beta 109.39
_cell_angle_gamma 90.00
loop_
_symmetry_equiv_pos_as_xyz
'x,y,z'
'-x,-y,-z'
'-x,y,-z'
'x,-y,z'
loop_
_atom_site_label
_atom_site_type_symbol
_atom_site_fract_x
_atom_site_fract_y
_atom_site_fract_z
Pr1 Pr 0.000 0.000 0.000
Er1 Er 0.000 0.500 0.500
Pu1 Pu 0.500 0.000 0.500
Pu2 Pu 0.500 0.500 0.000
Bi1 Bi 0.249 0.000 0.744
Bi2 Bi 0.253 0.500 0.258
```

Properties
Final energy (eV/cell): -58.21

***

DFT (GGA-PBE) results for LiBe2Nb after structural relaxation.

Structure (CIF):
```
data_LiBe2Nb
_symmetry_space_group_name_H-M 'F m -3 m'
_symmetry_Int_Tables_number 225
_symmetry_space_group_name_Hall '-F 4 2 3'
_cell_length_a 5.770
_cell_length_b 5.770
_cell_length_c 5.770
_cell_angle_alpha 90.00
_cell_angle_beta 90.00
_cell_angle_gamma 90.00
loop_
_atom_site_label
_atom_site_type_symbol
_atom_site_fract_x
_atom_site_fract_y
_atom_site_fract_z
Li1 Li 0.000 0.000 0.000
Be1 Be 0.250 0.250 0.250
Nb1 Nb 0.000 0.000 0.500
```

Properties
Final energy (eV/cell): -74.32

***

DFT (GGA-PBE) results for Cu2WBr after structural relaxation.

Structure (CIF):
```
data_Cu2WBr
_symmetry_space_group_name_H-M 'C m m m'
_symmetry_Int_Tables_number 65
_symmetry_space_group_name_Hall '-C 2 2'
_cell_length_a 3.153
_cell_length_b 4.780
_cell_length_c 8.630
_cell_angle_alpha 90.00
_cell_angle_beta 90.00
_cell_angle_gamma 90.00
loop_
_atom_site_label
_atom_site_type_symbol
_atom_site_fract_x
_atom_site_fract_y
_atom_site_fract_z
Cu1 Cu 0.000 0.000 0.238
W1 W 0.000 0.500 0.000
Br1 Br 0.000 0.500 0.500
```

Properties
Formation energy from raw total energies (meV per atom): 586

***

DFT (GGA-PBE) results for MnV2Te after structural relaxation.

Structure (CIF):
```
data_MnV2Te
_symmetry_space_group_name_H-M 'I -4 2 d'
_symmetry_Int_Tables_number 122
_symmetry_space_group_name_Hall 'I -4 2bw'
_cell_length_a 3.762
_cell_length_b 3.762
_cell_length_c 19.017
_cell_angle_alpha 90.00
_cell_angle_beta 90.00
_cell_angle_gamma 90.00
loop_
_atom_site_label
_atom_site_type_symbol
_atom_site_fract_x
_atom_site_fract_y
_atom_site_fract_z
Mn1 Mn 0.000 0.000 0.000
V1 V 0.247 0.250 0.625
Te1 Te 0.000 0.000 0.500
```

Properties
Formation energy from raw total energies (meV per atom): 494

***

DFT (GGA-PBE) results for NaY3Hg12 after structural relaxation.

Structure (CIF):
```
data_NaY3Hg12
_symmetry_space_group_name_H-M 'P 4/m m m'
_symmetry_Int_Tables_number 123
_symmetry_space_group_name_Hall '-P 4 2'
_cell_length_a 4.573
_cell_length_b 4.573
_cell_length_c 18.800
_cell_angle_alpha 90.00
_cell_angle_beta 90.00
_cell_angle_gamma 90.00
loop_
_atom_site_label
_atom_site_type_symbol
_atom_site_fract_x
_atom_site_fract_y
_atom_site_fract_z
Na1 Na 0.000 0.000 0.000
Y1 Y 0.000 0.000 0.245
Y2 Y 0.000 0.000 0.500
Hg1 Hg 0.000 0.500 0.126
Hg2 Hg 0.000 0.500 0.375
Hg3 Hg 0.500 0.500 0.000
Hg4 Hg 0.500 0.500 0.253
Hg5 Hg 0.500 0.500 0.500
```

Properties
Final energy (eV/cell): -29.04

***

DFT (GGA-PBE) results for LaF3 after structural relaxation.

Structure (CIF):
```
data_LaF3
_symmetry_space_group_name_H-M 'P -3 c 1'
_symmetry_Int_Tables_number 165
_symmetry_space_group_name_Hall '-P 3 2"c'
_cell_length_a 7.2432
_cell_length_b 7.2432
_cell_length_c 7.3794
_cell_angle_alpha 90.00
_cell_angle_beta 90.00
_cell_angle_gamma 120.00
loop_
_atom_site_label
_atom_site_type_symbol
_atom_site_fract_x
_atom_site_fract_y
_atom_site_fract_z
La1 La 0.0000 0.3426 0.2500
F1 F 0.0000 0.0000 0.2500
F2 F 0.0607 0.3702 0.5800
F3 F 0.3333 0.6667 0.3152
```

Properties
Formation energy from raw total energies (meV per atom): -4177

***

DFT (GGA-PBE) results for Pr3Dy2Tm after structural relaxation.

Structure (CIF):
```
data_Pr3Dy2Tm
_symmetry_space_group_name_H-M 'C m m m'
_symmetry_Int_Tables_number 65
_symmetry_space_group_name_Hall '-C 2 2'
_cell_length_a 5.161
_cell_length_b 15.425
_cell_length_c 5.045
_cell_angle_alpha 90.00
_cell_angle_beta 90.00
_cell_angle_gamma 90.00
loop_
_atom_site_label
_atom_site_type_symbol
_atom_site_fract_x
_atom_site_fract_y
_atom_site_fract_z
Pr1 Pr 0.000 0.000 0.000
Pr2 Pr 0.000 0.334 0.000
Dy1 Dy 0.000 0.166 0.500
Tm1 Tm 0.000 0.500 0.500
```

Properties
Final energy (eV/cell): -55.82

***

DFT (GGA-PBE) results for RbLa2Sn3Te6 after structural relaxation.

Structure (CIF):
```
data_RbLa2Sn3Te6
_symmetry_space_group_name_H-M 'C 1 2/m 1'
_symmetry_Int_Tables_number 12
_cell_length_a 23.283
_cell_length_b 4.357
_cell_length_c 8.764
_cell_angle_alpha 90.00
_cell_angle_beta 106.96
_cell_angle_gamma 90.00
loop_
_symmetry_equiv_pos_as_xyz
'x,y,z'
'-x,-y,-z'
'-x,y,-z'
'x,-y,z'
'x+1/2,y+1/2,z'
'-x+1/2,-y+1/2,-z'
'-x+1/2,y+1/2,-z'
'x+1/2,-y+1/2,z'
loop_
_atom_site_label
_atom_site_type_symbol
_atom_site_fract_x
_atom_site_fract_y
_atom_site_fract_z
Rb1 Rb 0.000 0.000 0.000
La1 La 0.152 0.000 0.610
Sn1 Sn 0.000 0.000 0.500
Sn2 Sn 0.218 0.500 0.075
Te1 Te 0.075 0.500 0.360
Te2 Te 0.106 0.500 0.838
Te3 Te 0.227 0.000 0.323
```

Properties
Formation energy from raw total energies (meV per atom): -842

***

DFT (GGA-PBE) results for LuHfFeAg after structural relaxation.

Structure (CIF):
```
data_LuHfFeAg
_symmetry_space_group_name_H-M 'F -4 3 m'
_symmetry_Int_Tables_number 216
_symmetry_space_group_name_Hall 'F -4 2 3'
_cell_length_a 6.675
_cell_length_b 6.675
_cell_length_c 6.675
_cell_angle_alpha 90.00
_cell_angle_beta 90.00
_cell_angle_gamma 90.00
loop_
_atom_site_label
_atom_site_type_symbol
_atom_site_fract_x
_atom_site_fract_y
_atom_site_fract_z
Lu1 Lu 0.000 0.000 0.000
Hf1 Hf 0.000 0.000 0.500
Fe1 Fe 0.250 0.250 0.750
Ag1 Ag 0.250 0.250 0.250
```

Properties
Final energy (eV/cell): -103.56

***

DFT (GGA-PBE) results for Pm2Pr5Nd12 after structural relaxation.

Structure (CIF):
```
data_Pm2Pr5Nd12
_symmetry_space_group_name_H-M 'C 1 2/m 1'
_symmetry_Int_Tables_number 12
_cell_length_a 22.726
_cell_length_b 7.253
_cell_length_c 8.895
_cell_angle_alpha 90.00
_cell_angle_beta 110.13
_cell_angle_gamma 90.00
loop_
_symmetry_equiv_pos_as_xyz
'x,y,z'
'-x,-y,-z'
'-x,y,-z'
'x,-y,z'
'x+1/2,y+1/2,z'
'-x+1/2,-y+1/2,-z'
'-x+1/2,y+1/2,-z'
'x+1/2,-y+1/2,z'
loop_
_atom_site_label
_atom_site_type_symbol
_atom_site_fract_x
_atom_site_fract_y
_atom_site_fract_z
Pm1 Pm 0.000 0.245 0.000
Pr1 Pr 0.000 0.500 0.500
Pr2 Pr 0.152 0.000 0.096
Pr3 Pr 0.248 0.500 0.490
Nd1 Nd 0.048 0.000 0.694
Nd2 Nd 0.106 0.243 0.384
Nd3 Nd 0.144 0.500 0.062
Nd4 Nd 0.200 0.247 0.793
```

Properties
Final energy (eV/cell): -176.53

***

DFT (GGA-PBE) results for Ba2ScAl2 after structural relaxation.

Structure (CIF):
```
data_Ba2ScAl2
_symmetry_space_group_name_H-M 'P 4/m b m'
_symmetry_Int_Tables_number 127
_symmetry_space_group_name_Hall '-P 4 2ab'
_cell_length_a 9.726
_cell_length_b 9.726
_cell_length_c 3.537
_cell_angle_alpha 90.00
_cell_angle_beta 90.00
_cell_angle_gamma 90.00
loop_
_atom_site_label
_atom_site_type_symbol
_atom_site_fract_x
_atom_site_fract_y
_atom_site_fract_z
Ba1 Ba 0.130 0.370 0.000
Sc1 Sc 0.000 0.000 0.000
Al1 Al 0.169 0.669 0.500
```

Properties
Final energy (eV/cell): -31.58

***

DFT (GGA-PBE) results for Ta2TeRh after structural relaxation.

Structure (CIF):
```
data_Ta2TeRh
_symmetry_space_group_name_H-M 'R 3 m'
_symmetry_Int_Tables_number 160
_symmetry_space_group_name_Hall 'R 3 -2"'
_cell_length_a 3.2598
_cell_length_b 3.2598
_cell_length_c 25.7414
_cell_angle_alpha 90.00
_cell_angle_beta 90.00
_cell_angle_gamma 120.00
loop_
_atom_site_label
_atom_site_type_symbol
_atom_site_fract_x
_atom_site_fract_y
_atom_site_fract_z
Ta1 Ta 0.0000 0.0000 0.0000
Ta2 Ta 0.0000 0.0000 0.2480
Te1 Te 0.0000 0.0000 0.7468
Rh1 Rh 0.0000 0.0000 0.5108
```

Properties
Formation energy from raw total energies (meV per atom): 6

***

DFT (GGA-PBE) results for Ti2AuN after structural relaxation.

Structure (CIF):
```
data_Ti2AuN
_symmetry_space_group_name_H-M 'P n m a'
_symmetry_Int_Tables_number 62
_cell_length_a 5.988
_cell_length_b 4.047
_cell_length_c 9.337
_cell_angle_alpha 90.00
_cell_angle_beta 90.00
_cell_angle_gamma 90.00
loop_
_symmetry_equiv_pos_as_xyz
'x,y,z'
'-x,-y,-z'
'-x+1/2,-y,z+1/2'
'x+1/2,y,-z+1/2'
'x+1/2,-y+1/2,-z+1/2'
'-x+1/2,y+1/2,z+1/2'
'-x,y+1/2,-z'
'x,-y+1/2,z'
loop_
_atom_site_label
_atom_site_type_symbol
_atom_site_fract_x
_atom_site_fract_y
_atom_site_fract_z
Ti1 Ti 0.114 0.250 0.070
Ti2 Ti 0.152 0.250 0.734
Au1 Au 0.090 0.250 0.392
N1 N 0.080 0.750 0.104
```

Properties
Formation energy from raw total energies (meV per atom): -977

***

DFT (GGA-PBE) results for MgPSe2 after structural relaxation.

Structure (CIF):
```
data_MgPSe2
_symmetry_space_group_name_H-M 'C 1 m 1'
_symmetry_Int_Tables_number 8
_cell_length_a 12.710
_cell_length_b 3.580
_cell_length_c 3.904
_cell_angle_alpha 90.00
_cell_angle_beta 92.45
_cell_angle_gamma 90.00
loop_
_symmetry_equiv_pos_as_xyz
'x,y,z'
'x,-y,z'
'x+1/2,y+1/2,z'
'x+1/2,-y+1/2,z'
loop_
_atom_site_label
_atom_site_type_symbol
_atom_site_fract_x
_atom_site_fract_y
_atom_site_fract_z
Mg1 Mg 0.000 0.000 0.000
P1 P 0.211 0.000 0.751
Se1 Se 0.013 0.500 0.505
Se2 Se 0.277 0.500 0.093
```

Properties
Formation energy from raw total energies (meV per atom): -351

***

DFT (GGA-PBE) results for AgSeS after structural relaxation.

Structure (CIF):
```
data_AgSeS
_symmetry_space_group_name_H-M 'P -1'
_symmetry_Int_Tables_number 2
_cell_length_a 4.125
_cell_length_b 5.337
_cell_length_c 7.186
_cell_angle_alpha 76.85
_cell_angle_beta 89.75
_cell_angle_gamma 67.40
loop_
_symmetry_equiv_pos_as_xyz
'x,y,z'
'-x,-y,-z'
loop_
_atom_site_label
_atom_site_type_symbol
_atom_site_fract_x
_atom_site_fract_y
_atom_site_fract_z
Ag1 Ag 0.000 0.000 0.000
Ag2 Ag 0.500 0.000 0.500
Se1 Se 0.140 0.717 0.713
S1 S 0.369 0.260 0.789
```

Properties
Formation energy from raw total energies (meV per atom): 7